Density functional theory data (PBE-GGA) for an optimized crystal structure of Sm2NiP4Ir3.

a b c (Å): 4.1762 4.1762 9.4142
angles (deg): 90.00 90.00 90.00
With the nearest neighbours (Å) after each atom.
Space group P-4m2 (No. 115)
Asymmetric unit:
Sm: 0.0000 0.5000 0.2461  8 P 3.12-3.17, 2 Ni 3.17, 7 Ir 3.17-3.40
Ni: 0.0000 0.0000 0.5000  4 P 2.43
P: 0.0000 0.0000 0.0000  4 Ir 2.35
P: 0.0000 0.5000 0.6321  3 Ir 2.38-2.43, 2 Ni 2.43
P: 0.5000 0.5000 0.0000  4 Ir 2.35
Ir: 0.0000 0.5000 0.8853  5 P 2.35-2.38
Ir: 0.5000 0.5000 0.5000  4 P 2.43

Computed properties:
Formation energy   -972 meV/atom
Density of states at the Fermi level   4.0 states/eV/f.u.
Total moment   0.000 μB/f.u.